NdY2Th2: relaxed, PBE-GGA.

a b c (Å): 3.601 3.601 14.759
angles (deg): 82.99 82.99 60.00
Positions (direct):
Th  0.199  0.199  0.404
Th  0.801  0.801  0.596
Nd  0.000  0.000  0.000
Y  0.598  0.598  0.205
Y  0.402  0.402  0.795

Summary:
Energy above the most stable polymorph in this dataset ... 0.000 eV/f.u.
ρ ... 7.955 g/cm³
Total magnetic moment ... 0.000 μB per atom
Formation enthalpy at 0 K ... 0.01 eV/atom
Final energy ... -6.4934 eV per atom